[1]
Material: Pm4CuCI2
Method: DFT, PBE
State: optimized geometry

**Total energy**: -4.99 eV/atom

Cell: 3.9738 7.2093 8.0264 Å, 106.43 90.00 90.00°
Last column: nearest neighbours and their distance in Å.
Fractional positions:
Pm (0.5000, 0.2552, 0.1842)  1 C 2.60, 2 Cu 2.82
Pm (0.5000, 0.7448, 0.8158)  1 C 2.60, 2 Cu 2.82
Pm (0.0000, 0.3020, 0.8225)  2 C 2.62, 1 Cu 2.92
Pm (0.0000, 0.6980, 0.1775)  2 C 2.62, 1 Cu 2.92
Cu (0.0000, 0.0000, 0.0000)  6 Pm 2.82-2.92
C (0.5000, 0.5000, 0.0000)  6 Pm 2.60-2.62
I (0.5000, 0.0000, 0.5000)  6 Pm 3.49-3.53
I (0.0000, 0.5000, 0.5000)  6 Pm 3.29-3.31

[2]
Material: Pm6CuC2I3
Method: DFT, PBE
State: optimized geometry

**Total energy**: -5.24 eV/atom

Cell: 6.8926 6.8926 8.0557 Å, 98.21 98.21 119.97°
Last column: nearest neighbours and their distance in Å.
Fractional positions:
Pm (0.9407, 0.5771, 0.8194)  2 C 2.60-2.61, 1 Cu 2.87
Pm (0.6963, 0.6963, 0.1798)  2 C 2.60, 1 Cu 2.87
Pm (0.0593, 0.4229, 0.1806)  2 C 2.60-2.61, 1 Cu 2.87
Pm (0.5771, 0.9407, 0.8194)  2 C 2.60-2.61, 1 Cu 2.87
Pm (0.3037, 0.3037, 0.8202)  2 C 2.60, 1 Cu 2.87
Pm (0.4229, 0.0593, 0.1806)  2 C 2.60-2.61, 1 Cu 2.87
Cu (0.0000, 0.0000, 0.0000)  6 Pm 2.87
C (0.3336, 0.6664, 0.0000)  6 Pm 2.60-2.61
C (0.6664, 0.3336, 0.0000)  6 Pm 2.60-2.61
I (0.1623, 0.8377, 0.5000)  6 Pm 3.26-3.45
I (0.8377, 0.1623, 0.5000)  6 Pm 3.26-3.45
I (0.5000, 0.5000, 0.5000)  6 Pm 3.24-3.45

[3]
Material: Rb2CuCI6
Method: DFT, PBE
State: optimized geometry

**Total energy**: -2.55 eV/atom

Cell: 7.7687 7.7687 7.8110 Å, 60.18 60.18 90.00°
Last column: nearest neighbours and their distance in Å.
Fractional positions:
I (0.2561, 0.2561, 0.4878)  1 C 2.71, 1 Cu 2.84
I (0.7439, 0.7439, 0.5122)  1 C 2.71, 1 Cu 2.84
I (0.2550, 0.2550, 0.0000)  1 C 2.69, 1 Cu 2.80
I (0.7450, 0.7450, 0.0000)  1 C 2.69, 1 Cu 2.80
I (0.7450, 0.2550, 0.0000)  1 C 2.69, 1 Cu 2.80
I (0.2550, 0.7450, 0.0000)  1 C 2.69, 1 Cu 2.80
C (0.5000, 0.5000, 0.0000)  6 I 2.69-2.71
Cu (0.0000, 0.0000, 0.0000)  6 I 2.80-2.84
Rb (0.7500, 0.2500, 0.5000)  12 I 3.88-3.91
Rb (0.2500, 0.7500, 0.5000)  12 I 3.88-3.91

[4]
Material: CuSbCI2
Method: DFT, PBE
State: optimized geometry

**Energy relative to the lowest polymorph listed for this composition**: 331 meV/atom
**Total energy**: -2.43 eV/atom

Cell: 5.4280 5.4280 5.0126 Å, 90.00 90.00 90.00°
Last column: nearest neighbours and their distance in Å.
Fractional positions:
I (0.0000, 0.5000, 0.0000)  2 Cu 2.71
I (0.5000, 0.0000, 0.0000)  2 Cu 2.71
Sb (0.0000, 0.0000, 0.5000)  2 Cu 2.51
C (0.5000, 0.5000, 0.5000)  8 I 3.69, 4 Sb 3.84
Cu (0.0000, 0.0000, 0.0000)  2 Sb 2.51, 4 I 2.71

[5]
Material: CuSb2CI
Method: DFT, PBE
State: optimized geometry

**Energy relative to the lowest polymorph listed for this composition**: 483 meV/atom
**Total energy**: -2.88 eV/atom

Cell: 5.0661 5.0661 5.3186 Å, 90.00 90.00 90.00°
Last column: nearest neighbours and their distance in Å.
Fractional positions:
I (0.0000, 0.0000, 0.5000)  2 Cu 2.66
Sb (0.0000, 0.5000, 0.0000)  2 Cu 2.53
Sb (0.5000, 0.0000, 0.0000)  2 Cu 2.53
C (0.5000, 0.5000, 0.5000)  4 I 3.58, 8 Sb 3.67
Cu (0.0000, 0.0000, 0.0000)  4 Sb 2.53, 2 I 2.66

[6]
Material: CuSbCI2
Method: DFT, PBE
State: optimized geometry

**Energy relative to the lowest polymorph listed for this composition**: 0 meV/atom
**Total energy**: -2.76 eV/atom

Cell: 5.1291 5.1291 4.6266 Å, 90.00 90.00 90.00°
Last column: nearest neighbours and their distance in Å.
Fractional positions:
I (0.0000, 0.5000, 0.0000)  2 C 2.56
I (0.5000, 0.0000, 0.0000)  2 C 2.56
Sb (0.0000, 0.0000, 0.5000)  2 C 2.31
C (0.0000, 0.0000, 0.0000)  2 Sb 2.31, 4 I 2.56
Cu (0.5000, 0.5000, 0.5000)  8 I 3.45, 4 Sb 3.63

[7]
Material: CuSb2CI
Method: DFT, PBE
State: optimized geometry

**Energy relative to the lowest polymorph listed for this composition**: 0 meV/atom
**Total energy**: -3.36 eV/atom

Cell: 4.7339 4.7339 4.9821 Å, 90.00 90.00 90.00°
Last column: nearest neighbours and their distance in Å.
Fractional positions:
I (0.0000, 0.0000, 0.5000)  2 C 2.49
Sb (0.0000, 0.5000, 0.0000)  2 C 2.37
Sb (0.5000, 0.0000, 0.0000)  2 C 2.37
C (0.0000, 0.0000, 0.0000)  4 Sb 2.37, 2 I 2.49
Cu (0.5000, 0.5000, 0.5000)  4 I 3.35, 8 Sb 3.44

[8]
Material: CuCSe2I
Method: DFT, PBE
State: optimized geometry

**Total energy**: -3.19 eV/atom

Cell: 5.2099 3.6731 5.2099 Å, 90.00 90.00 90.00°
Last column: nearest neighbours and their distance in Å.
Fractional positions:
I (0.5000, 0.5000, 0.5000)  8 Se 3.19
C (0.0000, 0.5000, 0.0000)  2 Cu 1.84
Cu (0.0000, 0.0000, 0.0000)  2 C 1.84
Se (0.0000, 0.0000, 0.5000)  2 Cu 2.60
Se (0.5000, 0.0000, 0.0000)  2 Cu 2.60

Number 1: uncorrected formation energy -4.5 eV per formula unit. Number 2: uncorrected formation energy -7.2 eV per formula unit. Number 3: uncorrected formation energy -0.9 eV per formula unit. Number 4: uncorrected formation energy 8.4 eV per formula unit. Number 5: uncorrected formation energy 8.7 eV per formula unit. Number 6: uncorrected formation energy 6.7 eV per formula unit. Number 7: uncorrected formation energy 6.3 eV per formula unit. Number 8: uncorrected formation energy 5.9 eV per formula unit.